[1]
First-principles (PBE) data for crystalline SiHgMo4 at its relaxed geometry, as listed in Alexandria.

Cell: 5.273 5.273 5.273 Å, 60.00 60.00 60.00°
Sites, in units of the cell vectors:
Si  0.250  0.250  0.250
Mo  0.122  0.626  0.626
Mo  0.626  0.626  0.122
Mo  0.626  0.122  0.626
Hg  0.000  0.000  0.000
Mo  0.626  0.626  0.626

Output
Total magnetization = 0.0 μB per formula unit
ΔE_f (raw) = 0.65 eV per atom
Space group = F-43m (216)

[2]
First-principles (PBE) data for crystalline Mg2AuSe at its relaxed geometry, as listed in Alexandria.

Cell: 5.433 5.433 8.211 Å, 70.68 70.68 90.00°
Sites, in units of the cell vectors:
Mg  0.625  0.125  0.250
Au  0.750  0.250  0.500
Mg  0.125  0.625  0.250
Mg  0.875  0.875  0.750
Se  0.250  0.750  0.500
Se  0.500  0.500  0.000
Au  0.000  0.000  0.000
Mg  0.375  0.375  0.750

Output
Total magnetization = 0.0 μB per formula unit
ΔE_f (raw) = -0.52 eV per atom
Space group = I-42d (122)

[3]
First-principles (PBE) data for crystalline HfScGa at its relaxed geometry, as listed in Alexandria.

Cell: 3.393 7.879 7.879 Å, 120.00 90.00 90.00°
Sites, in units of the cell vectors:
Ga  0.500  0.000  0.000
Sc  0.000  0.280  0.000
Hf  0.500  0.389  0.389
Sc  0.000  0.000  0.280
Sc  0.000  0.720  0.720
Hf  0.500  0.611  0.000
Hf  0.500  0.000  0.611
Ga  0.000  0.667  0.333
Ga  0.000  0.333  0.667

Output
Total magnetization = 0.0 μB per formula unit
Calculated total energy = -6.800 eV/atom
Space group = P-62m (189)

[4]
First-principles (PBE) data for crystalline KLiCd2In at its relaxed geometry, as listed in Alexandria.

Cell: 5.244 5.244 5.198 Å, 90.00 90.00 90.00°
Sites, in units of the cell vectors:
Cd  0.500  0.000  0.000
Cd  0.000  0.500  0.000
Li  0.000  0.000  0.000
K  0.500  0.500  0.500
In  0.000  0.000  0.500

Output
Total magnetization = 0.0 μB per formula unit
Calculated total energy = -1.502 eV/atom
Space group = P4/mmm (123)

[5]
First-principles (PBE) data for crystalline CdHgBr2 at its relaxed geometry, as listed in Alexandria.

Cell: 4.034 4.034 10.354 Å, 79.34 79.34 60.01°
Sites, in units of the cell vectors:
Br  0.466  0.466  0.593
Cd  0.750  0.750  0.750
Br  0.034  0.034  0.907
Hg  0.250  0.250  0.250

Output
Total magnetization = 0.0 μB per formula unit
ΔE_f (raw) = -0.62 eV per atom
Space group = C2/m (12)

[6]
First-principles (PBE) data for crystalline Ba2Al3Pd2 at its relaxed geometry, as listed in Alexandria.

Cell: 4.236 6.502 7.959 Å, 120.99 90.00 109.01°
Sites, in units of the cell vectors:
Al  0.500  0.000  0.000
Al  0.663  0.325  0.429
Pd  0.875  0.750  0.791
Ba  0.132  0.265  0.760
Pd  0.125  0.250  0.209
Ba  0.868  0.735  0.240
Al  0.337  0.675  0.571

Output
Total magnetization = 0.0 μB per formula unit
Calculated total energy = -4.209 eV/atom
Space group = C2/m (12)

[7]
First-principles (PBE) data for crystalline PrTaTi2O8 at its relaxed geometry, as listed in Alexandria.

Cell: 4.953 4.953 6.868 Å, 84.19 84.19 80.06°
Sites, in units of the cell vectors:
O  0.261  0.261  0.947
Ta  0.000  0.000  0.000
O  0.787  0.217  0.215
O  0.783  0.213  0.785
O  0.674  0.675  0.484
O  0.326  0.325  0.516
Pr  0.000  0.000  0.500
O  0.213  0.783  0.785
Ti  0.566  0.566  0.265
O  0.217  0.787  0.215
O  0.739  0.739  0.053
Ti  0.434  0.434  0.735

Output
Total magnetization = 0.0 μB per formula unit
ΔE_f (raw) = -3.01 eV per atom
Space group = C2/m (12)

[8]
First-principles (PBE) data for crystalline Pr2ScRu at its relaxed geometry, as listed in Alexandria.

Cell: 3.527 3.527 10.696 Å, 80.51 80.51 60.00°
Sites, in units of the cell vectors:
Ru  0.500  0.500  0.500
Pr  0.897  0.897  0.308
Sc  0.000  0.000  0.000
Pr  0.103  0.103  0.692

Output
Total magnetization = 0.0 μB per formula unit
Calculated total energy = -5.992 eV/atom
Space group = R-3m (166)